Compound: MgMo4Os
Source: Alexandria via LeMat-Bulk
Functional: PBE
Structure: relaxed

Computed properties:
spin magnetization: 0.00 μB per cell
D(E_F): 24.3 states/eV per cell
energy relative to the elements: 360 meV/atom

```
data_MgMo4Os
_cell_length_a 7.351
_cell_length_b 7.351
_cell_length_c 7.351
_cell_angle_alpha 90.00
_cell_angle_beta 90.00
_cell_angle_gamma 90.00
_space_group_name_H-M_alt 'F -4 3 m'
_space_group_IT_number 216
_space_group_name_Hall 'F -4 2 3'
loop_
_atom_site_label
_atom_site_type_symbol
_atom_site_fract_x
_atom_site_fract_y
_atom_site_fract_z
Mg1 Mg 0.000 0.000 0.000
Mo1 Mo 0.126 0.126 0.626
Os1 Os 0.250 0.250 0.250
```